No. 1
Computed, not measured: a relaxed structure of Ce6ThRu3 at the PBE level of DFT.

```
Ce6ThRu3
1.0
6.784 0.000 0.000
0.000 8.490 -0.349
0.000 0.209 8.495
Ru Ce Th
6 12 2
direct
0.352 0.246 0.994
0.852 0.754 0.006
0.359 0.474 0.526
0.859 0.526 0.474
0.352 0.006 0.754
0.852 0.994 0.246
0.604 0.312 0.688
0.104 0.688 0.312
0.595 0.726 0.723
0.847 0.993 0.533
0.347 0.007 0.467
0.095 0.274 0.277
0.833 0.069 0.931
0.347 0.533 0.993
0.095 0.723 0.726
0.595 0.277 0.274
0.333 0.931 0.069
0.847 0.467 0.007
0.600 0.700 0.300
0.100 0.300 0.700
```

Calculated values
Calculated formation energy = -184 meV per atom
D(E_F) = 19.42 states/eV/f.u.
Calculated density = 9.33 g cm⁻³
Energy = -145.38 eV/cell

=====

No. 2
Computed, not measured: a relaxed structure of Ce2ThRu at the PBE level of DFT.

```
Ce2ThRu
1.0
3.548 0.000 0.000
0.000 3.548 0.000
0.000 0.000 7.840
Th Ru Ce
1 1 2
direct
0.500 0.500 0.500
0.500 0.500 0.000
0.000 0.000 0.205
0.000 0.000 0.795
```

Calculated values
Distance to the lowest polymorph of the same formula = 116 meV per atom
Calculated formation energy = -150 meV per atom
D(E_F) = 7.34 states/eV/f.u.
Calculated density = 10.32 g cm⁻³
Energy = -29.16 eV/cell

=====

No. 3
Computed, not measured: a relaxed structure of Ce2ThRu at the PBE level of DFT.

```
Ce2ThRu
1.0
-1.088 -2.690 -5.341
6.533 1.283 -1.977
2.844 -8.657 3.781
Ce Ru Th
8 4 4
direct
0.357 0.173 0.058
0.643 0.827 0.558
0.643 0.827 0.942
0.857 0.327 0.942
0.143 0.673 0.442
0.857 0.327 0.558
0.357 0.173 0.442
0.143 0.673 0.058
0.390 0.887 0.250
0.610 0.113 0.750
0.890 0.613 0.750
0.110 0.387 0.250
0.644 0.543 0.250
0.856 0.043 0.250
0.144 0.957 0.750
0.356 0.457 0.750
```

Calculated values
Distance to the lowest polymorph of the same formula = 20 meV per atom
Calculated formation energy = -246 meV per atom
D(E_F) = 8.37 states/eV/f.u.
Calculated density = 9.78 g cm⁻³
Energy = -118.19 eV/cell

=====

No. 4
Computed, not measured: a relaxed structure of CeTh2Ru2 at the PBE level of DFT.

```
CeTh2Ru2
1.0
-2.868 -3.420 -5.068
-1.955 -5.826 5.038
-6.660 5.352 3.606
Ce Ru Th
4 8 8
direct
0.951 0.195 0.425
0.049 0.805 0.575
0.451 0.305 0.425
0.549 0.695 0.575
0.161 0.522 0.405
0.189 0.052 0.863
0.839 0.478 0.595
0.339 0.022 0.595
0.661 0.978 0.405
0.811 0.948 0.137
0.689 0.448 0.863
0.311 0.552 0.137
0.526 0.205 0.082
0.026 0.295 0.082
0.474 0.795 0.918
0.262 0.394 0.751
0.238 0.894 0.249
0.974 0.705 0.918
0.762 0.106 0.751
0.738 0.606 0.249
```

Calculated values
Calculated formation energy = -387 meV per atom
D(E_F) = 6.16 states/eV/f.u.
Calculated density = 11.21 g cm⁻³
Energy = -165.03 eV/cell

=====

No. 5
Computed, not measured: a relaxed structure of CeThRu at the PBE level of DFT.

```
CeThRu
1.0
1.313 2.533 6.720
-6.048 -3.288 2.421
3.461 -4.044 3.153
Th Ce Ru
4 4 4
direct
0.661 0.681 0.794
0.161 0.819 0.294
0.339 0.319 0.206
0.839 0.181 0.706
0.172 0.535 0.778
0.828 0.465 0.222
0.328 0.035 0.722
0.672 0.965 0.278
0.506 0.351 0.661
0.494 0.649 0.339
0.006 0.149 0.161
0.994 0.851 0.839
```

Calculated values
Distance to the lowest polymorph of the same formula = 22 meV per atom
Calculated formation energy = -325 meV per atom
D(E_F) = 4.29 states/eV/f.u.
Calculated density = 10.15 g cm⁻³
Energy = -94.42 eV/cell

=====

No. 6
Computed, not measured: a relaxed structure of Ce2ThRu at the PBE level of DFT.

```
Ce2ThRu
1.0
-1.215 -1.847 3.023
-3.054 -2.157 -0.225
3.772 -8.454 -1.328
Ce Ru Th
2 1 1
direct
0.062 0.062 0.813
0.271 0.271 0.186
0.667 0.667 0.000
0.500 0.500 0.501
```

Calculated values
Distance to the lowest polymorph of the same formula = 230 meV per atom
Calculated formation energy = -36 meV per atom
D(E_F) = 7.88 states/eV/f.u.
Calculated density = 9.21 g cm⁻³
Energy = -28.71 eV/cell

=====

No. 7
Computed, not measured: a relaxed structure of CeTh4Ru at the PBE level of DFT.

```
CeTh4Ru
1.0
6.954 0.000 0.000
0.000 7.001 0.000
0.000 0.000 7.051
Th Ce Ru
8 2 2
direct
0.799 0.692 0.660
0.799 0.308 0.340
0.309 0.741 0.846
0.201 0.308 0.660
0.309 0.259 0.154
0.691 0.741 0.154
0.691 0.259 0.846
0.201 0.692 0.340
0.500 0.000 0.500
0.000 0.000 0.000
0.000 0.000 0.500
0.000 0.500 0.000
```

Calculated values
Calculated formation energy = 47 meV per atom
D(E_F) = 9.76 states/eV/f.u.
Calculated density = 11.31 g cm⁻³
Energy = -89.21 eV/cell

=====

No. 8
Computed, not measured: a relaxed structure of Ce2Th3Ru4 at the PBE level of DFT.

```
Ce2Th3Ru4
1.0
5.454 0.239 0.171
0.770 9.035 -0.677
0.770 2.270 8.771
Th Ru Ce
6 8 4
direct
0.250 0.624 0.376
0.942 0.991 0.212
0.558 0.788 0.009
0.442 0.212 0.991
0.750 0.376 0.624
0.058 0.009 0.788
0.637 0.532 0.841
0.363 0.468 0.159
0.137 0.841 0.532
0.557 0.046 0.741
0.863 0.159 0.468
0.443 0.954 0.259
0.057 0.741 0.046
0.943 0.259 0.954
0.646 0.812 0.582
0.146 0.582 0.812
0.854 0.418 0.188
0.354 0.188 0.418
```

Calculated values
Calculated formation energy = -421 meV per atom
D(E_F) = 8.49 states/eV/f.u.
Calculated density = 10.47 g cm⁻³
Energy = -150.04 eV/cell

=====

Question: Number 6 is which compound?
Answer: Ce2ThRu